CuSbP2 (PBE, optimized geometry); V = 19.11 Å³ per atom; electronic total energy = -4.71 eV/atom; size of the total moment = 0.000 μB/atom; E_form (uncorrected) = 47 meV per atom
1.0
10.9216 0.0000 0.0000
0.0000 3.2994 0.0000
-1.6266 0.0000 4.2436
Cu Sb P
2 2 4
direct
0.0000 0.0000 0.0000
0.5000 0.5000 0.0000
0.0000 0.5000 0.5000
0.5000 0.0000 0.5000
0.2309 0.0000 0.1420
0.2691 0.5000 0.8580
0.7309 0.5000 0.1420
0.7691 0.0000 0.8580



CuSbP2 (PBE, optimized geometry); V = 19.56 Å³ per atom; electronic total energy = -4.39 eV/atom; size of the total moment = 0.000 μB/atom; E_form (uncorrected) = 369 meV per atom
1.0
3.1805 0.0000 0.0000
0.0000 5.3878 0.0000
0.0000 0.0000 9.1324
Cu Sb P
2 2 4
direct
0.0000 0.0000 0.0000
0.5000 0.5000 0.5000
0.0000 0.5000 0.2592
0.5000 0.0000 0.7592
0.0000 0.0000 0.3761
0.0000 0.5000 0.7018
0.5000 0.0000 0.2018
0.5000 0.5000 0.8761



Cu2SbP (PBE, optimized geometry); V = 16.77 Å³ per atom; electronic total energy = -4.13 eV/atom; size of the total moment = 0.000 μB/atom; polymorph energy (0 for the lowest one) = 195 meV/atom; E_form (uncorrected) = 302 meV per atom
1.0
3.0699 0.0000 0.0000
0.0000 3.0699 0.0000
0.0000 0.0000 7.1155
Cu Sb P
2 1 1
direct
0.0000 0.0000 0.1865
0.0000 0.0000 0.8135
0.5000 0.5000 0.5000
0.5000 0.5000 0.0000



CuSbP2 (PBE, optimized geometry); V = 19.99 Å³ per atom; electronic total energy = -4.59 eV/atom; size of the total moment = 0.000 μB/atom; E_form (uncorrected) = 172 meV per atom
1.0
4.5224 0.0000 0.0000
0.0000 3.2736 0.0000
-0.8206 0.0000 5.4021
Cu Sb P
1 1 2
direct
0.0000 0.0000 0.0000
0.8585 0.5000 0.3543
0.2495 0.5000 0.7579
0.5760 0.0000 0.7035



Cu4SbP (PBE, optimized geometry); V = 14.85 Å³ per atom; electronic total energy = -4.06 eV/atom; size of the total moment = 0.000 μB/atom; E_form (uncorrected) = 257 meV per atom
1.0
0.0000 3.5449 3.5449
3.5449 0.0000 3.5449
3.5449 3.5449 0.0000
Cu Sb P
4 1 1
direct
0.1247 0.1247 0.1247
0.1247 0.1247 0.6259
0.1247 0.6259 0.1247
0.6259 0.1247 0.1247
0.5000 0.5000 0.5000
0.7500 0.7500 0.7500



Cu2SbP (PBE, optimized geometry); V = 17.69 Å³ per atom; electronic total energy = -4.25 eV/atom; size of the total moment = 0.000 μB/atom; polymorph energy (0 for the lowest one) = 70 meV/atom; E_form (uncorrected) = 177 meV per atom
1.0
2.8825 0.0000 0.0000
0.0000 3.4482 0.0000
0.0000 0.0000 7.1182
Cu Sb P
2 1 1
direct
0.0000 0.0000 0.0000
0.5000 0.5000 0.1999
0.5000 0.5000 0.7563
0.0000 0.0000 0.3343



Cu2SbP (PBE, optimized geometry); V = 16.63 Å³ per atom; electronic total energy = -4.08 eV/atom; size of the total moment = 0.000 μB/atom; polymorph energy (0 for the lowest one) = 249 meV/atom; E_form (uncorrected) = 356 meV per atom
1.0
5.4216 0.0000 0.0000
0.0000 6.9696 0.0000
0.0000 0.0000 3.5206
Cu Sb P
4 2 2
direct
0.2500 0.2500 0.0000
0.2500 0.7500 0.0000
0.7500 0.2500 0.0000
0.7500 0.7500 0.0000
0.0000 0.0000 0.5000
0.5000 0.5000 0.5000
0.0000 0.5000 0.5000
0.5000 0.0000 0.5000



CuSbP2 (PBE, optimized geometry); V = 17.69 Å³ per atom; electronic total energy = -4.51 eV/atom; size of the total moment = 0.000 μB/atom; E_form (uncorrected) = 252 meV per atom
1.0
3.6574 0.0000 0.0000
0.0000 3.6574 0.0000
0.0000 0.0000 10.5813
Cu Sb P
2 2 4
direct
0.2500 0.7500 0.0000
0.7500 0.2500 0.0000
0.2500 0.2500 0.2743
0.7500 0.7500 0.7257
0.2500 0.2500 0.8478
0.2500 0.7500 0.5000
0.7500 0.2500 0.5000
0.7500 0.7500 0.1522